Material: LaZr2Br
Method: DFT, PBE
State: relaxed

Calculated values
energy above the lowest structure with this stoichiometry	295.4	meV per atom
formation energy from raw total energies	0.0275	eV/atom

a b c (Å): 8.563 8.563 5.895
angles (deg): 90.00 90.00 90.00
Space group I-42d (No. 122)
One atom of each set of equivalent atoms:
La 0.000 0.000 0.000
Zr 0.170 0.250 0.625
Br 0.000 0.000 0.500

Material: K3Cu2F9
Method: DFT, PBE
State: relaxed

Calculated values
formation energy from raw total energies	-2.0532	eV/atom

a b c (Å): 10.0308 10.0308 14.5935
angles (deg): 90.00 90.00 120.00
Space group R-3c (No. 167, hexagonal axes)
One atom of each set of equivalent atoms:
K 0.0000 0.3453 0.2500
Cu 0.0000 0.0000 0.1573
F 0.0000 0.1488 0.7500
F 0.0028 0.1642 0.4055

Material: NbAl2Ni2
Method: DFT, PBE
State: relaxed

Calculated values
E_form	-0.22	eV per atom
energy above the lowest structure with this stoichiometry	211.2	meV per atom

a b c (Å): 3.934 3.934 9.289
angles (deg): 90.00 90.00 90.00
Space group I4/mmm (No. 139)
One atom of each set of equivalent atoms:
Nb 0.000 0.000 0.000
Al 0.000 0.500 0.250
Ni 0.000 0.000 0.384

Material: TaTl2Cd
Method: DFT, PBE
State: relaxed

Calculated values
E_form	0.56	eV per atom
energy above the lowest structure with this stoichiometry	172.6	meV per atom

a b c (Å): 4.200 4.200 10.042
angles (deg): 90.00 90.00 90.00
Space group I-4m2 (No. 119)
One atom of each set of equivalent atoms:
Ta 0.000 0.000 0.000
Tl 0.000 0.000 0.500
Tl 0.000 0.500 0.750
Cd 0.000 0.500 0.250

Material: NaY2PaBi4
Method: DFT, PBE
State: relaxed

Calculated values
E_form	-0.50	eV per atom

a b c (Å): 7.721 4.512 7.818
angles (deg): 90.00 108.59 90.00
Space group P2/m (No. 10)
One atom of each set of equivalent atoms:
Na 0.000 0.000 0.000
Y 0.000 0.500 0.500
Y 0.500 0.000 0.500
Pa 0.500 0.500 0.000
Bi 0.253 0.000 0.753
Bi 0.260 0.500 0.251

Material: Tm5Ga4Ru
Method: DFT, PBE
State: relaxed

Calculated values
E_form	-0.58	eV per atom

a b c (Å): 3.475 3.475 17.674
angles (deg): 90.00 90.00 90.00
Space group P4/mmm (No. 123)
One atom of each set of equivalent atoms:
Tm 0.000 0.000 0.000
Tm 0.000 0.000 0.204
Tm 0.000 0.000 0.409
Ga 0.500 0.500 0.102
Ga 0.500 0.500 0.305
Ru 0.500 0.500 0.500

Material: Zr2CdTc2
Method: DFT, PBE
State: relaxed

Calculated values
E_form	-0.01	eV per atom

a b c (Å): 7.465 7.465 3.452
angles (deg): 90.00 90.00 90.00
Space group P4/mbm (No. 127)
One atom of each set of equivalent atoms:
Zr 0.160 0.340 0.000
Cd 0.000 0.000 0.500
Tc 0.139 0.639 0.500

Material: LiEuYMg
Method: DFT, PBE
State: relaxed

Calculated values
E_form	0.04	eV per atom

a b c (Å): 7.767 7.767 7.767
angles (deg): 90.00 90.00 90.00
Space group F-43m (No. 216)
One atom of each set of equivalent atoms:
Li 0.000 0.000 0.000
Eu 0.250 0.250 0.250
Y 0.250 0.250 0.750
Mg 0.000 0.000 0.500

Material: Ta2CrRe
Method: DFT, PBE
State: relaxed

Calculated values
E_form	-0.08	eV per atom

a b c (Å): 3.164 4.549 8.734
angles (deg): 90.00 90.00 90.00
Space group Immm (No. 71)
One atom of each set of equivalent atoms:
Ta 0.000 0.000 0.247
Cr 0.000 0.500 0.500
Re 0.000 0.500 0.000

Material: Ca2ErS3
Method: DFT, PBE
State: relaxed

Calculated values
energy above the lowest structure with this stoichiometry	7.3	meV per atom
formation energy from raw total energies	-2.0682	eV/atom

a b c (Å): 3.953 5.606 11.929
angles (deg): 90.00 90.00 90.00
Space group Immm (No. 71)
One atom of each set of equivalent atoms:
Ca 0.000 0.000 0.168
Er 0.000 0.000 0.500
S 0.000 0.500 0.161
S 0.000 0.500 0.500

Material: CePrSn
Method: DFT, PBE
State: relaxed

Calculated values
E_form	-0.28	eV per atom
energy above the lowest structure with this stoichiometry	276.6	meV per atom

a b c (Å): 5.269 16.825 17.011
angles (deg): 90.00 90.00 90.00
Space group Fmmm (No. 69)
One atom of each set of equivalent atoms:
Ce 0.000 0.192 0.198
Pr 0.000 0.000 0.159
Pr 0.000 0.168 0.000
Sn 0.000 0.120 0.388

Material: LiHgRu2
Method: DFT, PBE
State: relaxed

Calculated values
E_form	0.33	eV per atom

a b c (Å): 2.882 4.494 4.760
angles (deg): 90.00 90.00 90.00
Space group Pmmm (No. 47)
One atom of each set of equivalent atoms:
Li 0.000 0.000 0.000
Hg 0.500 0.500 0.000
Ru 0.000 0.500 0.500
Ru 0.500 0.000 0.500

no.,raw total energy (eV/atom)
1,-5.897
2,-4.076
3,-6.044
4,-3.811
5,-5.407
6,-4.953
7,-7.759
8,-5.024
9,-11.529
10,-5.560
11,-5.190
12,-4.859